(1)
A PBEsol-optimized structure of KYReIr2, computed with meta-GGA SCAN.

## Properties
* energy of formation from the pure elements: 2344 meV/atom
* uncorrected energy: -237.750 eV for the cell shown
* M_tot: 3.92 μB per cell

Cell lengths 4.890, 4.890, 4.912 Å; angles 90.00, 90.00, 90.00 degrees
Fractional coordinates of all 5 atoms:
Y1 0.000 0.000 0.000
Re1 0.500 0.500 0.500
K1 0.000 0.000 0.500
Ir1 0.000 0.500 0.000
Ir2 0.500 0.000 0.000


(2)
A PBEsol-optimized structure of Te2AuCl, computed with meta-GGA SCAN.

## Properties
* uncorrected formation energy: -8.11 kcal/mol of atoms
* uncorrected energy: -153.044 eV for the cell shown
* M_tot: 0.00 μB per cell

Cell lengths 6.427, 6.427, 4.727 Å; angles 73.38, 73.38, 36.26 degrees
Fractional coordinates of all 4 atoms:
Te1 0.026 0.026 0.030
Te2 0.841 0.841 0.773
Au1 0.433 0.433 0.402
Cl1 0.200 0.200 0.295


(3)
A PBEsol-optimized structure of BeCo2Tc, computed with meta-GGA SCAN.

## Properties
* energy of formation from the pure elements: -104 meV/atom
* E above lowest polymorph: 0 meV/atom
* uncorrected energy: -74.436 eV for the cell shown
* M_tot: 0.10 μB per cell

Cell lengths 2.580, 2.580, 6.097 Å; angles 90.00, 90.00, 90.00 degrees
Fractional coordinates of all 4 atoms:
Be1 0.500 0.500 0.500
Co1 0.000 0.000 0.715
Co2 0.000 0.000 0.285
Tc1 0.500 0.500 0.000


(4)
A PBEsol-optimized structure of YCrHS2, computed with meta-GGA SCAN.

## Properties
* uncorrected energy: -66.664 eV for the cell shown
* M_tot: 7.08 μB per cell

Cell lengths 5.122, 5.122, 5.989 Å; angles 90.00, 90.00, 90.00 degrees
Fractional coordinates of all 5 atoms:
Y1 0.000 0.000 0.000
Cr1 0.000 0.000 0.500
S1 0.000 0.500 0.000
S2 0.500 0.000 0.000
H1 0.500 0.500 0.500


(5)
A PBEsol-optimized structure of FeCo2, computed with meta-GGA SCAN.

## Properties
* energy of formation from the pure elements: -72 meV/atom
* uncorrected energy: -105.908 eV for the cell shown
* M_tot: 12.79 μB per cell

Cell lengths 2.416, 3.865, 6.892 Å; angles 90.00, 92.09, 90.00 degrees
Fractional coordinates of all 6 atoms:
Co1 0.903 0.000 0.832
Co2 0.500 0.500 0.000
Co3 0.097 0.000 0.168
Co4 0.500 0.000 0.500
Fe1 0.810 0.500 0.333
Fe2 0.190 0.500 0.667


(6)
A PBEsol-optimized structure of NbCrSCl2, computed with meta-GGA SCAN.

## Properties
* E above lowest polymorph: 0 meV/atom
* uncorrected formation energy: -9.31 kcal/mol of atoms
* uncorrected energy: -79.117 eV for the cell shown
* M_tot: 6.53 μB per cell

Cell lengths 4.775, 4.821, 4.821 Å; angles 90.00, 90.00, 90.00 degrees
Fractional coordinates of all 5 atoms:
Cr1 0.500 0.500 0.500
Nb1 0.000 0.000 0.000
S1 0.500 0.000 0.000
Cl1 0.000 0.000 0.500
Cl2 0.000 0.500 0.000


(7)
A PBEsol-optimized structure of Cs2Ge2S5, computed with meta-GGA SCAN.

## Properties
* uncorrected formation energy: -21.29 kcal/mol of atoms
* uncorrected energy: -680.978 eV for the cell shown
* M_tot: 0.00 μB per cell

Cell lengths 9.438, 11.187, 11.187 Å; angles 90.34, 100.37, 100.37 degrees
Fractional coordinates of all 36 atoms:
Cs1 0.133 0.057 0.207
Cs2 0.867 0.943 0.793
Cs3 0.869 0.520 0.790
Cs4 0.631 0.210 0.480
Cs5 0.367 0.793 0.943
Cs6 0.633 0.207 0.057
Cs7 0.369 0.790 0.520
Cs8 0.131 0.480 0.210
Ge1 0.618 0.862 0.269
Ge2 0.395 0.471 0.734
Ge3 0.382 0.138 0.731
Ge4 0.882 0.731 0.138
Ge5 0.605 0.529 0.266
Ge6 0.895 0.734 0.471
Ge7 0.105 0.266 0.529
Ge8 0.118 0.269 0.862
S1 0.260 0.454 0.884
S2 0.539 0.641 0.757
S3 0.250 0.119 0.881
S4 0.961 0.243 0.359
S5 0.523 0.009 0.753
S6 0.030 0.756 0.322
S7 0.250 0.450 0.550
S8 0.750 0.550 0.450
S9 0.760 0.884 0.454
S10 0.470 0.678 0.244
S11 0.477 0.991 0.247
S12 0.240 0.116 0.546
S13 0.023 0.753 0.009
S14 0.750 0.881 0.119
S15 0.039 0.757 0.641
S16 0.977 0.247 0.991
S17 0.740 0.546 0.116
S18 0.461 0.359 0.243
S19 0.970 0.244 0.678
S20 0.530 0.322 0.756


(8)
A PBEsol-optimized structure of SrZn4Ir, computed with meta-GGA SCAN.

## Properties
* energy of formation from the pure elements: -114 meV/atom
* uncorrected energy: -148.118 eV for the cell shown
* M_tot: 0.00 μB per cell

Cell lengths 5.148, 5.148, 5.148 Å; angles 60.00, 60.00, 60.00 degrees
Fractional coordinates of all 6 atoms:
Ir1 0.750 0.750 0.750
Sr1 0.000 0.000 0.000
Zn1 0.377 0.377 0.377
Zn2 0.377 0.377 0.870
Zn3 0.870 0.377 0.377
Zn4 0.377 0.870 0.377


(9)
A PBEsol-optimized structure of OsRu2W, computed with meta-GGA SCAN.

## Properties
* energy of formation from the pure elements: -24 meV/atom
* E above lowest polymorph: 0 meV/atom
* uncorrected energy: -211.315 eV for the cell shown
* M_tot: 0.00 μB per cell

Cell lengths 3.832, 3.832, 3.827 Å; angles 90.00, 90.00, 90.00 degrees
Fractional coordinates of all 4 atoms:
Ru1 0.000 0.500 0.000
Ru2 0.500 0.000 0.000
Os1 0.000 0.000 0.500
W1 0.500 0.500 0.500


(10)
A PBEsol-optimized structure of MgSc2Fe, computed with meta-GGA SCAN.

## Properties
* energy of formation from the pure elements: -118 meV/atom
* uncorrected energy: -52.049 eV for the cell shown
* M_tot: 0.11 μB per cell

Cell lengths 3.103, 3.103, 7.824 Å; angles 90.00, 90.00, 90.00 degrees
Fractional coordinates of all 4 atoms:
Sc1 0.000 0.000 0.811
Sc2 0.000 0.000 0.189
Mg1 0.500 0.500 0.500
Fe1 0.500 0.500 0.000


(11)
A PBEsol-optimized structure of TcSb2TeAs, computed with meta-GGA SCAN.

## Properties
* uncorrected formation energy: 29.11 kcal/mol of atoms
* uncorrected energy: -160.711 eV for the cell shown
* M_tot: 3.58 μB per cell

Cell lengths 5.259, 5.259, 5.175 Å; angles 90.00, 90.00, 90.00 degrees
Fractional coordinates of all 5 atoms:
Sb1 0.000 0.500 0.000
Sb2 0.500 0.000 0.000
As1 0.000 0.000 0.000
Te1 0.000 0.000 0.500
Tc1 0.500 0.500 0.500


(12)
A PBEsol-optimized structure of NbCrP, computed with meta-GGA SCAN.

## Properties
* energy of formation from the pure elements: -795 meV/atom
* uncorrected energy: -257.188 eV for the cell shown
* M_tot: 7.19 μB per cell

Cell lengths 3.504, 6.217, 7.316 Å; angles 90.00, 90.00, 90.00 degrees
Fractional coordinates of all 12 atoms:
Nb1 0.750 0.469 0.672
Nb2 0.750 0.969 0.828
Nb3 0.250 0.031 0.172
Nb4 0.250 0.531 0.328
Cr1 0.250 0.642 0.941
Cr2 0.750 0.858 0.441
Cr3 0.250 0.142 0.559
Cr4 0.750 0.358 0.059
P1 0.750 0.730 0.132
P2 0.750 0.230 0.368
P3 0.250 0.270 0.868
P4 0.250 0.770 0.632


(13)
A PBEsol-optimized structure of LaNi2Pb, computed with meta-GGA SCAN.

## Properties
* energy of formation from the pure elements: -17 meV/atom
* uncorrected energy: -151.301 eV for the cell shown
* M_tot: 0.00 μB per cell

Cell lengths 3.462, 4.675, 4.675 Å; angles 90.00, 90.00, 90.00 degrees
Fractional coordinates of all 4 atoms:
La1 0.500 0.000 0.000
Ni1 0.000 0.000 0.500
Ni2 0.000 0.500 0.000
Pb1 0.500 0.500 0.500


(14)
A PBEsol-optimized structure of CaSnO2F, computed with meta-GGA SCAN.

## Properties
* uncorrected formation energy: -37.25 kcal/mol of atoms
* uncorrected energy: -69.664 eV for the cell shown
* M_tot: 1.00 μB per cell

Cell lengths 4.193, 4.332, 4.332 Å; angles 90.00, 90.00, 90.00 degrees
Fractional coordinates of all 5 atoms:
Ca1 0.000 0.000 0.000
Sn1 0.500 0.500 0.500
O1 0.000 0.000 0.500
O2 0.000 0.500 0.000
F1 0.500 0.000 0.000


(15)
A PBEsol-optimized structure of AsIr3, computed with meta-GGA SCAN.

## Properties
* energy of formation from the pure elements: 163 meV/atom
* E above lowest polymorph: 0 meV/atom
* uncorrected energy: -232.834 eV for the cell shown
* M_tot: 0.00 μB per cell

Cell lengths 2.789, 4.669, 4.669 Å; angles 108.05, 90.00, 90.00 degrees
Fractional coordinates of all 4 atoms:
As1 0.000 0.000 0.000
Ir1 0.500 0.000 0.500
Ir2 0.500 0.500 0.000
Ir3 0.000 0.500 0.500


(16)
A PBEsol-optimized structure of MnCo2Re, computed with meta-GGA SCAN.

## Properties
* energy of formation from the pure elements: -51 meV/atom
* E above lowest polymorph: 0 meV/atom
* uncorrected energy: -124.165 eV for the cell shown
* M_tot: 6.57 μB per cell

Cell lengths 4.064, 4.064, 4.064 Å; angles 60.00, 60.00, 60.00 degrees
Fractional coordinates of all 4 atoms:
Co1 0.750 0.750 0.750
Co2 0.250 0.250 0.250
Mn1 0.000 0.000 0.000
Re1 0.500 0.500 0.500


(17)
A PBEsol-optimized structure of ZrCdPt, computed with meta-GGA SCAN.

## Properties
* energy of formation from the pure elements: -56 meV/atom
* uncorrected energy: -131.475 eV for the cell shown
* M_tot: 0.00 μB per cell

Cell lengths 4.455, 4.455, 4.455 Å; angles 60.00, 60.00, 60.00 degrees
Fractional coordinates of all 3 atoms:
Cd1 0.750 0.750 0.750
Pt1 0.000 0.000 0.000
Zr1 0.500 0.500 0.500


(18)
A PBEsol-optimized structure of H2RuF, computed with meta-GGA SCAN.

## Properties
* uncorrected energy: -43.760 eV for the cell shown
* M_tot: 1.94 μB per cell

Cell lengths 3.391, 3.391, 3.391 Å; angles 60.00, 60.00, 60.00 degrees
Fractional coordinates of all 4 atoms:
Ru1 0.500 0.500 0.500
F1 0.000 0.000 0.000
H1 0.250 0.250 0.250
H2 0.750 0.750 0.750


(19)
A PBEsol-optimized structure of MoRuW2, computed with meta-GGA SCAN.

## Properties
* energy of formation from the pure elements: 158 meV/atom
* E above lowest polymorph: 0 meV/atom
* uncorrected energy: -208.455 eV for the cell shown
* M_tot: 0.00 μB per cell

Cell lengths 3.125, 3.125, 6.176 Å; angles 90.00, 90.00, 90.00 degrees
Fractional coordinates of all 4 atoms:
Mo1 0.500 0.500 0.000
Ru1 0.500 0.500 0.500
W1 0.000 0.000 0.755
W2 0.000 0.000 0.245


(20)
A PBEsol-optimized structure of CrOsAu, computed with meta-GGA SCAN.

## Properties
* energy of formation from the pure elements: 480 meV/atom
* uncorrected energy: -157.981 eV for the cell shown
* M_tot: 0.00 μB per cell

Cell lengths 2.652, 2.652, 7.067 Å; angles 95.97, 95.97, 116.47 degrees
Fractional coordinates of all 3 atoms:
Au1 0.994 0.994 0.989
Cr1 0.325 0.325 0.649
Os1 0.681 0.681 0.362